Run w
Entry from the Open Quantum Materials Database: LaBW after structural relaxation (GGA-PBE).

Computed properties:
For the total magnetic moment, the calculation gives 0.7053 μB/atom.

a = 6.5152 Å, b = 6.5152 Å, c = 6.5152 Å
α = 90.00°, β = 90.00°, γ = 90.00°
Last column: nearest neighbours and their distance in Å.
Space group F-43m (No. 216)
Inequivalent atoms, fractional coordinates:
La 0.0000 0.0000 0.0000 [4 per cell]  4 W 2.82, 4 B 2.82
B 0.2500 0.2500 0.7500 [4 per cell]  4 La 2.82
W 0.2500 0.2500 0.2500 [4 per cell]  4 La 2.82

***

Run x
Entry from the Open Quantum Materials Database: LaBW after structural relaxation (GGA-PBE).

Computed properties:
For the total magnetic moment, the calculation gives 0.0008 μB/atom.

a = 6.0655 Å, b = 6.0655 Å, c = 6.0655 Å
α = 90.00°, β = 90.00°, γ = 90.00°
Last column: nearest neighbours and their distance in Å.
Space group F-43m (No. 216)
Inequivalent atoms, fractional coordinates:
La 0.0000 0.0000 0.0000 [4 per cell]  4 B 2.63
B 0.2500 0.2500 0.2500 [4 per cell]  4 La 2.63, 4 W 2.63
W 0.0000 0.0000 0.5000 [4 per cell]  4 B 2.63

***

Of them, run w has the lowest stability.

***

Run w
Entry from the Open Quantum Materials Database: LaZnB4 after structural relaxation (GGA-PBE).

Computed properties:
For the total magnetic moment, the calculation gives 0.0003 μB/atom.

a = 3.1648 Å, b = 5.3804 Å, c = 8.5716 Å
α = 90.00°, β = 90.00°, γ = 90.00°
Last column: nearest neighbours and their distance in Å.
Space group Immm (No. 71)
Inequivalent atoms, fractional coordinates:
La 0.0000 0.0000 0.0000 [2 per cell]  12 B 2.79-2.80, 4 Zn 3.12
Zn 0.0000 0.0000 0.5000 [2 per cell]  12 B 2.73-2.86
B 0.0000 0.3251 0.2548 [8 per cell]  3 B 1.78-1.88

***

Run x
Entry from the Open Quantum Materials Database: LaZnB4 after structural relaxation (GGA-PBE).

Computed properties:
For the total magnetic moment, the calculation gives 0.0009 μB/atom.

a = 3.1826 Å, b = 3.1826 Å, c = 7.5969 Å
α = 90.00°, β = 90.00°, γ = 120.00°
Last column: nearest neighbours and their distance in Å.
Space group P6/mmm (No. 191)
Inequivalent atoms, fractional coordinates:
La 0.0000 0.0000 0.0000 [1 per cell]  12 B 2.85, 6 La 3.18
Zn 0.0000 0.0000 0.5000 [1 per cell]  12 B 2.45
B 0.3333 0.6667 0.2868 [4 per cell]  3 B 1.84

***

Of them, run x has the lowest stability.

***

Run w
Entry from the Open Quantum Materials Database: LiLuB after structural relaxation (GGA-PBE).

Computed properties:
For the total magnetic moment, the calculation gives 0.3333 μB/atom.

a = 5.8659 Å, b = 5.8659 Å, c = 5.8659 Å
α = 90.00°, β = 90.00°, γ = 90.00°
Last column: nearest neighbours and their distance in Å.
Space group F-43m (No. 216)
Inequivalent atoms, fractional coordinates:
Li 0.0000 0.0000 0.0000 [4 per cell]  4 B 2.54
Lu 0.0000 0.0000 0.5000 [4 per cell]  4 B 2.54
B 0.2500 0.2500 0.2500 [4 per cell]  4 Li 2.54, 4 Lu 2.54

***

Run x
Entry from the Open Quantum Materials Database: LiLuB after structural relaxation (GGA-PBE).

Computed properties:
For the total magnetic moment, the calculation gives 0.0040 μB/atom.

a = 5.8986 Å, b = 5.8986 Å, c = 5.8986 Å
α = 90.00°, β = 90.00°, γ = 90.00°
Last column: nearest neighbours and their distance in Å.
Space group F-43m (No. 216)
Inequivalent atoms, fractional coordinates:
Li 0.0000 0.0000 0.0000 [4 per cell]  4 Lu 2.55
Lu 0.2500 0.2500 0.7500 [4 per cell]  4 Li 2.55, 4 B 2.55
B 0.0000 0.0000 0.5000 [4 per cell]  4 Lu 2.55

***

Of them, run x has the lowest stability.

***

Run w
Entry from the Open Quantum Materials Database: LiLuNiB after structural relaxation (GGA-PBE).

Computed properties:
For the total magnetic moment, the calculation gives 0.0003 μB/atom.

a = 5.8672 Å, b = 5.8672 Å, c = 5.8672 Å
α = 90.00°, β = 90.00°, γ = 90.00°
Last column: nearest neighbours and their distance in Å.
Space group F-43m (No. 216)
Inequivalent atoms, fractional coordinates:
Li 0.0000 0.0000 0.0000 [4 per cell]  4 Ni 2.54, 4 Lu 2.54
Lu 0.2500 0.2500 0.2500 [4 per cell]  4 Li 2.54, 4 B 2.54
Ni 0.2500 0.2500 0.7500 [4 per cell]  4 Li 2.54, 4 B 2.54
B 0.0000 0.0000 0.5000 [4 per cell]  4 Ni 2.54, 4 Lu 2.54

***

Run x
Entry from the Open Quantum Materials Database: LiLuNiB after structural relaxation (GGA-PBE).

Computed properties:
For the total magnetic moment, the calculation gives 0.0552 μB/atom.

a = 5.8811 Å, b = 5.8811 Å, c = 5.8811 Å
α = 90.00°, β = 90.00°, γ = 90.00°
Last column: nearest neighbours and their distance in Å.
Space group F-43m (No. 216)
Inequivalent atoms, fractional coordinates:
Li 0.0000 0.0000 0.0000 [4 per cell]  4 B 2.55, 4 Lu 2.55
Lu 0.2500 0.2500 0.7500 [4 per cell]  4 Li 2.55, 4 Ni 2.55
Ni 0.0000 0.0000 0.5000 [4 per cell]  4 B 2.55, 4 Lu 2.55
B 0.2500 0.2500 0.2500 [4 per cell]  4 Li 2.55, 4 Ni 2.55

***

Of them, run x has the lowest stability.

***

Run w
Entry from the Open Quantum Materials Database: LiMgNiB after structural relaxation (GGA-PBE).

Computed properties:
For the total magnetic moment, the calculation gives 0.0012 μB/atom.

a = 5.6928 Å, b = 5.6928 Å, c = 5.6928 Å
α = 90.00°, β = 90.00°, γ = 90.00°
Last column: nearest neighbours and their distance in Å.
Space group F-43m (No. 216)
Inequivalent atoms, fractional coordinates:
Li 0.0000 0.0000 0.0000 [4 per cell]  4 Ni 2.47, 4 B 2.47
Mg 0.0000 0.0000 0.5000 [4 per cell]  4 Ni 2.47, 4 B 2.47
Ni 0.2500 0.2500 0.2500 [4 per cell]  4 Mg 2.47, 4 Li 2.47
B 0.2500 0.2500 0.7500 [4 per cell]  4 Li 2.47, 4 Mg 2.47

***

Run x
Entry from the Open Quantum Materials Database: LiMgNiB after structural relaxation (GGA-PBE).

Computed properties:
For the total magnetic moment, the calculation gives 0.0022 μB/atom.

a = 5.5578 Å, b = 5.5578 Å, c = 5.5578 Å
α = 90.00°, β = 90.00°, γ = 90.00°
Last column: nearest neighbours and their distance in Å.
Space group F-43m (No. 216)
Inequivalent atoms, fractional coordinates:
Li 0.0000 0.0000 0.0000 [4 per cell]  4 Mg 2.41, 4 Ni 2.41
Mg 0.2500 0.2500 0.7500 [4 per cell]  4 Li 2.41, 4 B 2.41
Ni 0.2500 0.2500 0.2500 [4 per cell]  4 Li 2.41, 4 B 2.41
B 0.0000 0.0000 0.5000 [4 per cell]  4 Ni 2.41, 4 Mg 2.41

***

Of them, run w has the lowest stability.

***

Run w
Entry from the Open Quantum Materials Database: LiMgZnB after structural relaxation (GGA-PBE).

a = 5.7518 Å, b = 5.7518 Å, c = 5.7518 Å
α = 90.00°, β = 90.00°, γ = 90.00°
Last column: nearest neighbours and their distance in Å.
Space group F-43m (No. 216)
Inequivalent atoms, fractional coordinates:
Li 0.0000 0.0000 0.0000 [4 per cell]  4 Mg 2.49, 4 Zn 2.49
Mg 0.2500 0.2500 0.2500 [4 per cell]  4 Li 2.49, 4 B 2.49
Zn 0.2500 0.2500 0.7500 [4 per cell]  4 Li 2.49, 4 B 2.49
B 0.0000 0.0000 0.5000 [4 per cell]  4 Mg 2.49, 4 Zn 2.49

***

Run x
Entry from the Open Quantum Materials Database: LiMgZnB after structural relaxation (GGA-PBE).

a = 5.9700 Å, b = 5.9700 Å, c = 5.9700 Å
α = 90.00°, β = 90.00°, γ = 90.00°
Last column: nearest neighbours and their distance in Å.
Space group F-43m (No. 216)
Inequivalent atoms, fractional coordinates:
Li 0.0000 0.0000 0.0000 [4 per cell]  4 B 2.59, 4 Zn 2.59
Mg 0.0000 0.0000 0.5000 [4 per cell]  4 B 2.59, 4 Zn 2.59
Zn 0.2500 0.2500 0.2500 [4 per cell]  4 Li 2.59, 4 Mg 2.59
B 0.2500 0.2500 0.7500 [4 per cell]  4 Li 2.59, 4 Mg 2.59

***

Of them, run x has the lowest stability.